(1)
VASP calculation (PBE+U) on an optimized crystal structure of KCoH3C3O6.

Unit cell a=7.123 b=7.123 c=6.974 alpha=85.68 beta=85.68 gamma=79.44
Site moments in Bohr magnetons follow the coordinates.
Fractional coordinates of all 28 atoms:
Co (0.000, 0.500, 0.000)  2.78
Co (0.500, 0.000, 0.500)  2.78
O (0.298, 0.193, 0.339)  0.04
O (0.116, 0.740, 0.876)  0.04
O (0.260, 0.884, 0.624)  0.04
O (0.702, 0.807, 0.661)  0.04
O (0.830, 0.504, 0.763)  0.04
O (0.740, 0.116, 0.376)  0.04
O (0.193, 0.298, 0.839)  0.04
O (0.504, 0.830, 0.263)  0.04
O (0.884, 0.260, 0.124)  0.04
O (0.807, 0.702, 0.161)  0.04
O (0.170, 0.496, 0.237)  0.04
O (0.496, 0.170, 0.737)  0.04
H (0.431, 0.328, 0.969)  0.00
H (0.625, 0.375, 0.250)  0.00
H (0.569, 0.672, 0.031)  0.00
H (0.328, 0.431, 0.469)  0.00
H (0.672, 0.569, 0.531)  0.00
H (0.375, 0.625, 0.750)  0.00
K (0.893, 0.107, 0.750)  0.00
K (0.107, 0.893, 0.250)  0.00
C (0.734, 0.627, 0.650)  0.00
C (0.253, 0.747, 0.750)  0.00
C (0.373, 0.266, 0.850)  0.00
C (0.627, 0.734, 0.150)  0.00
C (0.747, 0.253, 0.250)  0.00
C (0.266, 0.373, 0.350)  0.00



(2)
VASP calculation (PBE+U) on an optimized crystal structure of KCoH3C3O6.

Unit cell a=7.164 b=7.164 c=8.486 alpha=90.00 beta=90.00 gamma=120.00
Site moments in Bohr magnetons follow the coordinates.
Fractional coordinates of all 28 atoms:
H (0.408, 0.000, 0.500)  0.00
H (0.000, 0.408, 0.500)  0.00
H (0.592, 0.000, 0.000)  0.00
H (0.408, 0.408, 0.000)  0.00
H (0.592, 0.592, 0.500)  0.00
H (0.000, 0.592, 0.000)  0.00
C (0.562, 0.562, 0.000)  0.00
C (0.438, 0.438, 0.500)  0.00
C (0.438, 0.000, 0.000)  0.00
C (0.000, 0.562, 0.500)  0.00
C (0.562, 0.000, 0.500)  0.00
C (0.000, 0.438, 0.000)  0.00
O (0.697, 0.594, 0.109)  0.03
O (0.897, 0.303, 0.109)  0.03
O (0.897, 0.594, 0.391)  0.03
O (0.103, 0.697, 0.609)  0.03
O (0.303, 0.897, 0.891)  0.03
O (0.594, 0.697, 0.891)  0.03
O (0.594, 0.897, 0.609)  0.03
O (0.103, 0.406, 0.891)  0.03
O (0.406, 0.103, 0.109)  0.03
O (0.303, 0.406, 0.609)  0.03
O (0.406, 0.303, 0.391)  0.03
O (0.697, 0.103, 0.391)  0.03
Co (0.667, 0.333, 0.250)  2.71
Co (0.333, 0.667, 0.750)  2.71
K (0.000, 0.000, 0.250)  0.00
K (0.000, 0.000, 0.750)  0.00



Which of them is the most stable, and which is the least stable? (2) and (1), in that order.